1.
! VSiSb2Au (GGA-PBE, optimized geometry); values from VASP
&SYSTEM
  ibrav = 0, nat = 5, ntyp = 4
/
ATOMIC_SPECIES
Sb 121.76 Sb.upf
Au 196.97 Au.upf
Si 28.09 Si.upf
V 50.94 V.upf
CELL_PARAMETERS angstrom
-4.6126 -1.6538 -1.1469
1.9671 -3.0577 -3.5023
0.4527 -3.6469 3.4382
ATOMIC_POSITIONS angstrom
Sb 0.2263 -1.8235 1.7191
Sb -2.3063 -0.8269 -0.5734
Au 0.9836 -1.5288 -1.7512
Si -1.0964 -4.1792 -0.6055
V 0.0000 0.0000 0.0000
! **ρ**: 6.7 g cm⁻³
! **ΔE_f (raw)**: 0.7676 eV/atom


2.
! LaHoCd3 (GGA-PBE, optimized geometry); values from VASP
&SYSTEM
  ibrav = 0, nat = 10, ntyp = 3
/
ATOMIC_SPECIES
Cd 112.41 Cd.upf
La 138.91 La.upf
Ho 164.93 Ho.upf
CELL_PARAMETERS angstrom
3.5152 0.0000 -0.4840
0.0000 5.0659 0.0000
0.2871 0.0000 15.0927
ATOMIC_POSITIONS angstrom
Cd 1.3122 3.7994 9.5306
Cd 1.8579 3.7994 0.4864
Cd 1.5357 1.2665 11.1537
Cd 2.2666 3.7994 3.4550
Cd 1.9444 1.2665 14.1224
Cd 2.4901 1.2665 5.0782
La 0.3095 1.2665 2.2476
La 3.4929 3.7994 12.3611
Ho 0.8777 3.7994 6.3746
Ho 2.9246 1.2665 8.2341
! **ρ**: 7.9 g cm⁻³
! **ΔE_f**: -0.32 eV per atom